--- one ---
## La4Tm3Se8 (PBE-GGA)

Data for an optimized crystal structure of La4Tm3Se8.

a = 8.342 Å, b = 8.342 Å, c = 8.313 Å
α = 119.80°, β = 119.80°, γ = 90.07°
Element x y z (fractional)
La  0.000  0.000  0.000
La  0.000  0.500  0.000
La  0.500  0.000  0.000
La  0.500  0.500  0.500
Tm  0.000  0.500  0.500
Tm  0.500  0.000  0.500
Tm  0.500  0.500  0.000
Se  0.242  0.758  0.500
Se  0.250  0.250  0.516
Se  0.252  0.252  0.987
Se  0.258  0.742  0.000
Se  0.742  0.258  0.000
Se  0.748  0.748  0.013
Se  0.750  0.750  0.484
Se  0.758  0.242  0.500

The space group is C2/m (12). For the density of states at the Fermi level, the calculation gives 8.01 states/eV per cell. The density is 6.840 Mg/m³.



--- two ---
## La4Tm3Se8 (PBE-GGA)

Data for an optimized crystal structure of La4Tm3Se8.

a = 9.127 Å, b = 9.127 Å, c = 9.127 Å
α = 52.80°, β = 52.80°, γ = 52.80°
Element x y z (fractional)
La  0.000  0.000  0.000
La  0.149  0.149  0.149
La  0.500  0.500  0.500
La  0.851  0.851  0.851
Tm  0.000  0.500  0.500
Tm  0.500  0.000  0.500
Tm  0.500  0.500  0.000
Se  0.250  0.250  0.730
Se  0.250  0.730  0.250
Se  0.270  0.750  0.750
Se  0.271  0.271  0.271
Se  0.729  0.729  0.729
Se  0.730  0.250  0.250
Se  0.750  0.270  0.750
Se  0.750  0.750  0.270

The space group is R-3m (166). For the density of states at the Fermi level, the calculation gives 9.42 states/eV per cell. The density is 6.296 Mg/m³.



Tell me which of them is the least stable. Sure, it is two.



--- one ---
## LaUSe3 (PBE-GGA)

Data for an optimized crystal structure of LaUSe3.

a = 9.086 Å, b = 9.086 Å, c = 5.434 Å
α = 90.00°, β = 90.00°, γ = 135.32°
Element x y z (fractional)
La  0.182  0.818  0.000
La  0.818  0.182  0.000
U  0.382  0.618  0.500
U  0.618  0.382  0.500
Se  0.000  0.500  0.500
Se  0.226  0.226  0.500
Se  0.357  0.643  0.000
Se  0.500  0.000  0.500
Se  0.643  0.357  0.000
Se  0.774  0.774  0.500

The space group is Cmmm (65). For the density of states at the Fermi level, the calculation gives 12.70 states/eV per cell. The density is 6.462 Mg/m³.



--- two ---
## LaUSe3 (PBE-GGA)

Data for an optimized crystal structure of LaUSe3.

a = 7.818 Å, b = 4.201 Å, c = 16.231 Å
α = 90.00°, β = 90.00°, γ = 90.00°
Element x y z (fractional)
La  0.121  0.250  0.203
La  0.379  0.750  0.703
La  0.621  0.250  0.297
La  0.879  0.750  0.797
U  0.233  0.750  0.460
U  0.267  0.250  0.960
U  0.733  0.750  0.040
U  0.767  0.250  0.540
Se  0.008  0.250  0.398
Se  0.125  0.750  0.064
Se  0.164  0.250  0.784
Se  0.336  0.750  0.284
Se  0.375  0.250  0.564
Se  0.492  0.750  0.898
Se  0.508  0.250  0.102
Se  0.625  0.750  0.436
Se  0.664  0.250  0.716
Se  0.836  0.750  0.216
Se  0.875  0.250  0.936
Se  0.992  0.750  0.602

The space group is Pnma (62). For the density of states at the Fermi level, the calculation gives 23.46 states/eV per cell. The density is 7.648 Mg/m³.



Tell me which of them is the least stable. Sure, it is one.